Below is crystalline DyGa2BO6 at its relaxed geometry, with properties calculated at the GGA-PBE level.

Computed properties:
Space group   No. 15
ΔE_f (raw)   -2.42 eV per atom
Final energy   -71.3 eV/f.u.

Lattice parameters (Å, degrees): 6.767 6.767 5.944 111.23 111.23 78.54
Fractional coordinates of all 20 atoms:
Dy 0.174 0.826 0.750
Dy 0.826 0.174 0.250
Ga 0.234 0.369 0.855
Ga 0.369 0.234 0.355
Ga 0.631 0.766 0.645
Ga 0.766 0.631 0.145
B 0.178 0.822 0.250
B 0.822 0.178 0.750
O 0.023 0.174 0.694
O 0.174 0.023 0.194
O 0.180 0.652 0.015
O 0.238 0.435 0.575
O 0.348 0.820 0.485
O 0.435 0.238 0.075
O 0.565 0.762 0.925
O 0.652 0.180 0.515
O 0.762 0.565 0.425
O 0.820 0.348 0.985
O 0.826 0.977 0.806
O 0.977 0.826 0.306